Entry 1:
The following is a DFT calculation (GGA-PBE) of crystalline BaMg3 at its relaxed geometry.

## Properties
As for the space group: I4/mmm. Its energy of formation from the pure elements is -7 kJ/mol of formula units.

a = 5.5812 Å, b = 5.5812 Å, c = 5.5579 Å
α = 120.14°, β = 120.14°, γ = 90.00°
Fractional positions:
Mg 0.7500 0.2500 0.5000
Mg 0.2500 0.7500 0.5000
Mg 0.5000 0.5000 0.0000
Ba 0.0000 0.0000 0.0000

=====

Entry 2:
The following is a DFT calculation (GGA-PBE) of crystalline Ba3Mg4 at its relaxed geometry.

## Properties
As for the space group: P6/mmm. Its energy above the most stable polymorph in this dataset is 1.82 eV per formula unit. Its energy of formation from the pure elements is 185 kJ/mol of formula units.

a = 7.7161 Å, b = 7.7161 Å, c = 5.9051 Å
α = 90.00°, β = 90.00°, γ = 120.00°
Fractional positions:
Ba 0.0000 0.5000 0.0000
Ba 0.5000 0.5000 0.0000
Ba 0.5000 0.0000 0.0000
Mg 0.0000 0.0000 0.2504
Mg 0.0000 0.0000 0.7496
Mg 0.6667 0.3333 0.5000
Mg 0.3333 0.6667 0.5000

=====

Entry 3:
The following is a DFT calculation (GGA-PBE) of crystalline BaMg3 at its relaxed geometry.

## Properties
As for the space group: R-3m. Its energy of formation from the pure elements is 63 kJ/mol of formula units.

a = 6.6707 Å, b = 6.6707 Å, c = 6.6707 Å
α = 117.16°, β = 117.16°, γ = 117.16°
Fractional positions:
Ba 0.0000 0.0000 0.0000
Mg 0.0000 0.5000 0.5000
Mg 0.5000 0.0000 0.5000
Mg 0.5000 0.5000 0.0000

=====

Entry 4:
The following is a DFT calculation (GGA-PBE) of crystalline BaMg3 at its relaxed geometry.

## Properties
As for the space group: Pmm2. Its energy of formation from the pure elements is 36 kJ/mol of formula units.

a = 3.6294 Å, b = 5.2325 Å, c = 6.8956 Å
α = 90.00°, β = 90.00°, γ = 90.00°
Fractional positions:
Ba 0.0000 0.0000 0.1558
Mg 0.5000 0.0000 0.6568
Mg 0.5000 0.5000 0.4111
Mg 0.0000 0.5000 0.7763

=====

Entry 5:
The following is a DFT calculation (GGA-PBE) of crystalline BaMg4 at its relaxed geometry.

## Properties
As for the space group: I4/mmm. Its energy above the most stable polymorph in this dataset is 0.11 eV per formula unit. Its energy of formation from the pure elements is 5 kJ/mol of formula units.

a = 7.6254 Å, b = 7.6254 Å, c = 7.6254 Å
α = 142.84°, β = 142.84°, γ = 53.57°
Fractional positions:
Ba 0.0000 0.0000 0.0000
Mg 0.2500 0.7500 0.5000
Mg 0.3880 0.3880 0.0000
Mg 0.6120 0.6120 0.0000
Mg 0.7500 0.2500 0.5000

=====

Entry 6:
The following is a DFT calculation (GGA-PBE) of crystalline BaMg2Mn at its relaxed geometry.

## Properties
As for the space group: P4/mmm. Its energy of formation from the pure elements is 169 kJ/mol of formula units.

a = 4.8150 Å, b = 4.8150 Å, c = 5.1866 Å
α = 90.00°, β = 90.00°, γ = 90.00°
Last column: magnetic moment on the atom in μB.
Fractional positions:
Ba 0.0000 0.5000 0.5000  -0.08
Mg 0.0000 0.0000 0.0000  -0.01
Mg 0.5000 0.5000 0.0000  -0.01
Mn 0.5000 0.0000 0.5000  4.04

=====

Entry 7:
The following is a DFT calculation (GGA-PBE) of crystalline BaMgMn2 at its relaxed geometry.

## Properties
As for the space group: P4mm. Its energy above the most stable polymorph in this dataset is 0.62 eV per formula unit. Its energy of formation from the pure elements is 200 kJ/mol of formula units.

a = 3.5139 Å, b = 3.5148 Å, c = 8.1193 Å
α = 90.00°, β = 90.00°, γ = 90.00°
Last column: magnetic moment on the atom in μB.
Fractional positions:
Ba 0.0000 0.0000 0.4733  -0.06
Mg 0.5000 0.5000 0.8292  -0.02
Mn 0.0000 0.0000 0.0230  3.68
Mn 0.5000 0.5000 0.1744  3.71

=====

Entry 8:
The following is a DFT calculation (GGA-PBE) of crystalline BaMg2Mn at its relaxed geometry.

## Properties
As for the space group: F-43m. Its energy of formation from the pure elements is 134 kJ/mol of formula units.

a = 5.4352 Å, b = 5.4352 Å, c = 5.4352 Å
α = 60.00°, β = 60.00°, γ = 60.00°
Last column: magnetic moment on the atom in μB.
Fractional positions:
Ba 0.5000 0.5000 0.5000  0.05
Mg 0.0000 0.0000 0.0000  -0.01
Mg 0.2500 0.2500 0.2500  0.00
Mn 0.7500 0.7500 0.7500  4.16

=====

Entry 9:
The following is a DFT calculation (GGA-PBE) of crystalline BaMgMn2 at its relaxed geometry.

## Properties
As for the space group: R3m. Its energy above the most stable polymorph in this dataset is 0.00 eV per formula unit. Its energy of formation from the pure elements is 140 kJ/mol of formula units.

a = 6.7627 Å, b = 6.7627 Å, c = 6.7627 Å
α = 38.91°, β = 38.91°, γ = 38.91°
Last column: magnetic moment on the atom in μB.
Fractional positions:
Ba 0.5090 0.5090 0.5090  0.03
Mg 0.6990 0.6990 0.6990  0.00
Mn 0.9806 0.9806 0.9806  -3.37
Mn 0.3114 0.3114 0.3114  3.45

=====

Entry 10:
The following is a DFT calculation (GGA-PBE) of crystalline BaMg2Mn at its relaxed geometry.

## Properties
As for the space group: Pm. Its energy of formation from the pure elements is 134 kJ/mol of formula units.

a = 4.8774 Å, b = 3.6467 Å, c = 6.9220 Å
α = 74.80°, β = 90.00°, γ = 90.00°
Last column: magnetic moment on the atom in μB.
Fractional positions:
Ba 0.5000 0.7068 0.7129  -0.07
Mg 0.0000 0.0122 0.1004  -0.02
Mg 0.5000 0.4413 0.2405  -0.02
Mn 0.0000 0.3397 0.4462  3.85

=====

Entry 11:
The following is a DFT calculation (GGA-PBE) of crystalline BaMg2Mn at its relaxed geometry.

## Properties
As for the space group: Cmmm. Its energy of formation from the pure elements is 201 kJ/mol of formula units.

a = 6.1420 Å, b = 6.1420 Å, c = 3.3245 Å
α = 90.00°, β = 90.00°, γ = 113.86°
Last column: magnetic moment on the atom in μB.
Fractional positions:
Ba 0.0000 0.5000 0.5000  -0.08
Mg 0.0000 0.0000 0.0000  -0.02
Mg 0.5000 0.5000 0.0000  -0.02
Mn 0.5000 0.0000 0.5000  4.04

=====

Entry 12:
The following is a DFT calculation (GGA-PBE) of crystalline BaMgMn2 at its relaxed geometry.

## Properties
As for the space group: Imm2. Its energy above the most stable polymorph in this dataset is 1.13 eV per formula unit. Its energy of formation from the pure elements is 249 kJ/mol of formula units.

a = 6.3402 Å, b = 6.3402 Å, c = 6.3402 Å
α = 149.63°, β = 129.39°, γ = 60.17°
Last column: magnetic moment on the atom in μB.
Fractional positions:
Ba 0.5065 0.5065 0.0000  -0.14
Mg 0.2136 0.7136 0.5000  -0.03
Mn 0.9879 0.9879 0.0000  3.49
Mn 0.7920 0.2920 0.5000  3.80